Record 1
Material: Pm2Tm6Sc5
Method: DFT, PBE-GGA
State: optimized geometry

Cell lengths 11.328, 19.303, 3.453 Å; angles 90.00, 90.00, 90.00 degrees
Space group Pbam (No. 55)
Inequivalent atoms, fractional coordinates:
Pm 0.153 0.217 0.000
Tm 0.056 0.920 0.000
Tm 0.088 0.633 0.000
Tm 0.175 0.379 0.500
Sc 0.000 0.500 0.500
Sc 0.106 0.778 0.500
Sc 0.198 0.049 0.500

formation energy from the elements	1.547	eV per formula unit
crystal system	orthorhombic

Record 2
Material: Nd6HC2Cl3
Method: DFT, PBE-GGA
State: optimized geometry

Cell lengths 6.573, 11.365, 7.412 Å; angles 90.00, 107.31, 90.00 degrees
Space group C2/m (No. 12)
Inequivalent atoms, fractional coordinates:
Nd 0.216 0.000 0.197
Nd 0.240 0.326 0.197
H 0.000 0.500 0.000
C 0.000 0.166 0.000
Cl 0.000 0.000 0.500
Cl 0.000 0.331 0.500

crystal system	monoclinic

Record 3
Material: CaSc2B
Method: DFT, PBE-GGA
State: optimized geometry

Cell lengths 7.838, 7.838, 5.957 Å; angles 90.00, 90.00, 90.00 degrees
Space group I-42d (No. 122)
Inequivalent atoms, fractional coordinates:
Ca 0.000 0.000 0.000
Sc 0.148 0.250 0.625
B 0.000 0.000 0.500

formation energy from the elements	1.046	eV per formula unit
crystal system	tetragonal

no.,E_tot (eV per atom),DOS at the Fermi energy (states/eV/cell)
1,-5.111,37.581
2,-5.602,12.620
3,-5.074,9.383